ZnCrO3 | PBE+U | relaxed

Cell: 3.729 3.729 3.729 Å, 90.00 90.00 90.00°
Fractional coordinates of all 5 atoms:
Zn (0.000, 0.000, 0.000)
Cr (0.500, 0.500, 0.500)
O (0.000, 0.500, 0.500)
O (0.500, 0.000, 0.500)
O (0.500, 0.500, 0.000)

Output
* E_tot: -5.670 eV/atom